1.
# PS2NCl

A relaxed structure of PS2NCl (GGA-PBE, Alexandria via LeMat-Bulk).

The calculation puts the magnetization at 2.46 μB/f.u. The value obtained for the calculated density is 2.40 Mg/m³. As for the raw formation energy: 1396 meV/atom.

It has space group P4/mmm (No. 123), with a = 4.4979 Å, b = 4.4979 Å, c = 4.9453 Å, α = 90.00°, β = 90.00° and γ = 90.00°. The distinct sites, in fractional coordinates, are P at (0.0000, 0.0000, 0.0000), S at (0.0000, 0.5000, 0.0000), N at (0.5000, 0.5000, 0.5000) and Cl at (0.0000, 0.0000, 0.5000).

***

2.
# Sm2BeRh3

A relaxed structure of Sm2BeRh3 (GGA-PBE, Alexandria via LeMat-Bulk).

The formation energy from the elements is -0.68 eV per atom. The calculation puts the magnetization at 0.00 μB/f.u. The value obtained for the calculated density is 9.81 Mg/m³.

It has space group R-3m (No. 166, hexagonal axes), with a = 5.5941 Å, b = 5.5941 Å, c = 11.5842 Å, α = 90.00°, β = 90.00° and γ = 120.00°. The distinct sites, in fractional coordinates, are Sm at (0.0000, 0.0000, 0.1305), Be at (0.0000, 0.0000, 0.5000) and Rh at (0.0000, 0.5000, 0.0000).